Record 1
Density functional theory data (GGA-PBE) for a relaxed structure of KAl2Fe.

Cell: 5.744 5.744 8.416 Å, 70.05 70.05 90.00°
Site moments in Bohr magnetons follow the coordinates.
Atoms (fractional coordinates):
K 0.250 0.750 0.500  -0.01
K 0.500 0.500 0.000  -0.01
Al 0.375 0.125 0.750  -0.08
Al 0.875 0.625 0.250  -0.07
Al 0.875 0.125 0.250  -0.07
Al 0.875 0.125 0.750  -0.07
Fe 0.750 0.250 0.500  1.56
Fe 0.000 0.000 0.000  1.56

Energy relative to the lowest polymorph listed for this composition: 399 meV per atom
SG: I4_1/amd


Record 2
Density functional theory data (GGA-PBE) for a relaxed structure of KAlFe2.

Cell: 10.083 10.083 10.083 Å, 15.80 15.80 15.80°
Site moments in Bohr magnetons follow the coordinates.
Atoms (fractional coordinates):
Fe 0.485 0.485 0.485  2.35
Fe 0.015 0.015 0.015  2.35
Al 0.750 0.750 0.750  -0.06
K 0.250 0.250 0.250  -0.05

SG: R-3m


Record 3
Density functional theory data (GGA-PBE) for a relaxed structure of KAlFe2.

Cell: 2.722 3.861 7.466 Å, 90.00 90.00 90.00°
Site moments in Bohr magnetons follow the coordinates.
Atoms (fractional coordinates):
Fe 0.000 0.000 0.600  2.38
Fe 0.000 0.000 0.900  2.38
Al 0.500 0.500 0.750  -0.06
K 0.500 0.500 0.250  0.00

SG: Pmmm


Record 4
Density functional theory data (GGA-PBE) for a relaxed structure of KAlFe2.

Cell: 4.336 2.842 7.012 Å, 82.79 90.00 90.00°
Site moments in Bohr magnetons follow the coordinates.
Atoms (fractional coordinates):
Fe 0.000 0.997 0.881  2.50
Fe 0.000 0.503 0.619  2.50
Al 0.500 0.750 0.750  -0.05
K 0.500 0.250 0.250  0.00

SG: P2/m


Record 5
Density functional theory data (GGA-PBE) for a relaxed structure of KAl2Fe.

Cell: 4.842 4.842 4.845 Å, 119.64 119.65 90.58°
Site moments in Bohr magnetons follow the coordinates.
Atoms (fractional coordinates):
Al 0.250 0.750 0.500  -0.01
Al 0.000 0.000 0.000  0.01
Fe 0.500 0.500 0.000  2.90
K 0.750 0.250 0.500  0.01

Energy relative to the lowest polymorph listed for this composition: 657 meV per atom
SG: I-4m2


Record 6
Density functional theory data (GGA-PBE) for a relaxed structure of KAlFe2.

Cell: 4.688 4.688 4.688 Å, 60.00 60.00 60.00°
Site moments in Bohr magnetons follow the coordinates.
Atoms (fractional coordinates):
Fe 0.250 0.250 0.250  2.69
Fe 0.000 0.000 0.000  2.83
Al 0.500 0.500 0.500  -0.07
K 0.750 0.750 0.750  -0.03

SG: F-43m


Record 7
Density functional theory data (GGA-PBE) for a relaxed structure of KAlFe2.

Cell: 4.762 4.762 9.487 Å, 75.46 75.46 90.00°
Site moments in Bohr magnetons follow the coordinates.
Atoms (fractional coordinates):
Fe 0.375 0.625 0.750  2.60
Fe 0.375 0.625 0.250  2.63
Fe 0.875 0.625 0.750  2.59
Fe 0.375 0.125 0.250  2.64
Al 0.250 0.750 0.500  -0.09
Al 0.500 0.500 0.000  -0.09
K 0.750 0.250 0.500  -0.02
K 0.000 0.000 0.000  -0.02

SG: I4_1/amd


Record 8
Density functional theory data (GGA-PBE) for a relaxed structure of KAl2Fe.

Cell: 5.294 5.294 2.858 Å, 90.00 90.00 90.00°
Site moments in Bohr magnetons follow the coordinates.
Atoms (fractional coordinates):
Al 0.000 0.000 0.000  0.00
Al 0.500 0.500 0.000  0.00
Fe 0.500 0.000 0.500  2.83
K 0.000 0.500 0.500  0.01

Energy relative to the lowest polymorph listed for this composition: 659 meV per atom
SG: P4/mmm


Record 9
Density functional theory data (GGA-PBE) for a relaxed structure of KAlFe2.

Cell: 2.764 5.012 5.012 Å, 90.00 90.00 90.00°
Site moments in Bohr magnetons follow the coordinates.
Atoms (fractional coordinates):
Fe 0.000 0.000 0.000  2.63
Fe 0.000 0.500 0.500  2.63
Al 0.500 0.000 0.500  -0.05
K 0.500 0.500 0.000  -0.04

SG: P4/mmm


Record 10
Density functional theory data (GGA-PBE) for a relaxed structure of KAl2Fe.

Cell: 6.187 6.187 6.187 Å, 154.10 128.02 58.97°
Site moments in Bohr magnetons follow the coordinates.
Atoms (fractional coordinates):
K 0.262 0.762 0.500  -0.02
Al 0.730 0.230 0.500  -0.05
Al 0.965 0.965 0.000  -0.03
Fe 0.543 0.543 0.000  2.36

Energy relative to the lowest polymorph listed for this composition: 443 meV per atom
SG: Imm2


Record 11
Density functional theory data (GGA-PBE) for a relaxed structure of KAlFe2.

Cell: 2.745 5.314 4.823 Å, 90.00 90.00 90.00°
Site moments in Bohr magnetons follow the coordinates.
Atoms (fractional coordinates):
Fe 0.000 0.000 0.000  2.75
Fe 0.500 0.500 0.000  2.60
K 0.500 0.000 0.500  -0.05
Al 0.000 0.500 0.500  -0.06

SG: Pmmm


Record 12
Density functional theory data (GGA-PBE) for a relaxed structure of KAl2Fe.

Cell: 4.623 4.280 4.280 Å, 90.00 90.00 90.00°
Site moments in Bohr magnetons follow the coordinates.
Atoms (fractional coordinates):
Al 0.000 0.000 0.000  -0.03
Al 0.000 0.500 0.500  -0.03
Fe 0.500 0.500 0.000  2.91
K 0.500 0.000 0.500  -0.03

Energy relative to the lowest polymorph listed for this composition: 723 meV per atom
SG: P4/mmm


Record 13
Density functional theory data (GGA-PBE) for a relaxed structure of KAlFe3.

Cell: 4.728 4.728 4.728 Å, 90.00 90.00 90.00°
Site moments in Bohr magnetons follow the coordinates.
Atoms (fractional coordinates):
Al 0.000 0.000 0.000  -0.09
Fe 0.000 0.000 0.500  2.86
Fe 0.500 0.000 0.000  2.65
Fe 0.000 0.500 0.000  2.98
K 0.500 0.500 0.500  -0.02

Energy relative to the lowest polymorph listed for this composition: 0 meV per atom
SG: Pm-3m


Record 14
Density functional theory data (GGA-PBE) for a relaxed structure of KAl2Fe.

Cell: 4.316 4.316 6.768 Å, 71.44 71.44 59.99°
Site moments in Bohr magnetons follow the coordinates.
Atoms (fractional coordinates):
Fe 0.250 0.250 0.250  1.86
K 0.750 0.750 0.750  0.00
Al 0.563 0.563 0.310  -0.03
Al 0.937 0.937 0.190  -0.03

Energy relative to the lowest polymorph listed for this composition: 71 meV per atom
SG: R-3m


Record 15
Density functional theory data (GGA-PBE) for a relaxed structure of KAl2Fe.

Cell: 4.607 4.607 7.555 Å, 85.40 85.40 34.92°
Site moments in Bohr magnetons follow the coordinates.
Atoms (fractional coordinates):
Al 0.246 0.246 0.305  -0.02
Al 0.987 0.987 0.096  -0.02
K 0.752 0.752 0.736  -0.01
Fe 0.515 0.515 0.364  1.88

Energy relative to the lowest polymorph listed for this composition: 195 meV per atom
SG: Cm


Record 16
Density functional theory data (GGA-PBE) for a relaxed structure of KAlFe2.

Cell: 5.248 5.248 2.696 Å, 90.00 90.00 109.55°
Site moments in Bohr magnetons follow the coordinates.
Atoms (fractional coordinates):
Fe 0.500 0.500 0.000  2.66
Fe 0.000 0.000 0.000  2.66
K 0.500 0.000 0.500  -0.04
Al 0.000 0.500 0.500  -0.04

SG: Cmmm


Record 17
Density functional theory data (GGA-PBE) for a relaxed structure of KAlFe2.

Cell: 3.014 3.025 8.869 Å, 70.15 90.00 90.00°
Site moments in Bohr magnetons follow the coordinates.
Atoms (fractional coordinates):
Fe 0.500 0.349 0.153  2.74
Fe 0.000 0.989 0.012  2.08
Al 0.500 0.661 0.839  0.00
K 0.000 0.502 0.496  0.03

SG: Pm


Record 18
Density functional theory data (GGA-PBE) for a relaxed structure of K4AlFe.

Cell: 7.122 7.122 7.122 Å, 60.00 60.00 60.00°
Site moments in Bohr magnetons follow the coordinates.
Atoms (fractional coordinates):
K 0.375 0.375 0.375  -0.01
K 0.375 0.375 0.875  -0.01
K 0.875 0.375 0.375  -0.01
K 0.375 0.875 0.375  -0.01
Al 0.750 0.750 0.750  -0.02
Fe 0.000 0.000 0.000  3.21

SG: F-43m


Record 19
Density functional theory data (GGA-PBE) for a relaxed structure of KAl2Fe.

Cell: 6.746 5.729 2.754 Å, 90.70 64.59 119.05°
Site moments in Bohr magnetons follow the coordinates.
Atoms (fractional coordinates):
Fe 0.000 0.500 0.500  2.97
Al 0.500 0.000 0.500  0.00
Al 0.000 0.000 0.000  0.00
K 0.500 0.500 0.000  -0.01

Energy relative to the lowest polymorph listed for this composition: 595 meV per atom
SG: C2/m


Record 20
Density functional theory data (GGA-PBE) for a relaxed structure of KAlFe2.

Cell: 4.224 4.224 6.601 Å, 71.27 71.27 59.99°
Site moments in Bohr magnetons follow the coordinates.
Atoms (fractional coordinates):
Al 0.250 0.250 0.250  -0.09
Fe 0.570 0.570 0.291  2.19
Fe 0.930 0.930 0.209  2.19
K 0.750 0.750 0.750  -0.01

SG: C2/m


Record 21
Density functional theory data (GGA-PBE) for a relaxed structure of KAlFe2.

Cell: 4.256 4.256 7.334 Å, 85.29 85.29 38.28°
Site moments in Bohr magnetons follow the coordinates.
Atoms (fractional coordinates):
Al 0.271 0.271 0.138  -0.05
Fe 0.726 0.726 0.860  2.49
Fe 0.005 0.005 0.987  2.06
K 0.499 0.499 0.515  -0.02

SG: Cm


Record 22
Density functional theory data (GGA-PBE) for a relaxed structure of KLaAl2Fe.

Cell: 5.346 4.463 5.346 Å, 90.00 90.00 90.00°
Atoms (fractional coordinates):
La 0.500 0.500 0.500
Al 0.000 0.000 0.500
Al 0.500 0.000 0.000
Fe 0.000 0.500 0.000
K 0.000 0.000 0.000

SG: P4/mmm


| no. | calculated formation energy (eV per atom) |
| --- | --- |
| 1 | 0.540 |
| 2 | 0.670 |
| 3 | 0.479 |
| 4 | 0.513 |
| 5 | 0.799 |
| 6 | 1.040 |
| 7 | 0.872 |
| 8 | 0.801 |
| 9 | 1.036 |
| 10 | 0.585 |
| 11 | 1.034 |
| 12 | 0.865 |
| 13 | 1.159 |
| 14 | 0.213 |
| 15 | 0.336 |
| 16 | 1.008 |
| 17 | 0.387 |
| 18 | 0.993 |
| 19 | 0.737 |
| 20 | 0.377 |
| 21 | 0.477 |
| 22 | 1.429 |